PBE MgCuGe2Pb, relaxed; crystal system = tetragonal; formation enthalpy at 0 K = 0.626 eV/atom; space group = P4/mmm, No. 123; total magnetic moment = 0.000 μB/cell
1.0
5.068 0.000 0.000
0.000 5.068 0.000
0.000 0.000 4.785
Mg Cu Ge Pb
1 1 2 1
direct
0.000 0.000 0.000 Mg
0.000 0.000 0.500 Cu
0.000 0.500 0.000 Ge
0.500 0.000 0.000 Ge
0.500 0.500 0.500 Pb